# 1
Below is a relaxed Ac3Zn2Cu crystal, with properties calculated at the PBE-GGA level.

```
6
Lattice="3.884 0.000 0.000 0.000 5.218 -1.728 0.000 -0.033 8.646" Properties=species:S:1:pos:R:3 pbc="T T T"
Cu 0.000 0.000 0.000
Ac 1.942 0.833 2.516
Ac 1.942 4.352 4.402
Ac 1.942 2.609 -0.864
Zn 0.000 1.688 5.100
Zn 0.000 3.497 1.818
```

Output
The value obtained for the total magnetic moment is 0.00 μB per formula unit. For the energy of formation, the calculation gives -111 kJ/mol of formula units. The space-group type is Cmmm.

---

# 2
Below is a relaxed CrGaFe6 crystal, with properties calculated at the PBE-GGA level.

```
32
Lattice="-1.125 3.172 5.279 5.251 -3.350 0.631 5.463 7.891 -3.577" Properties=species:S:1:pos:R:3 pbc="T T T"
Fe 2.971 1.656 4.570
Fe 8.674 5.934 0.748
Fe 3.887 2.112 -0.448
Fe 6.161 5.829 0.273
Ga 1.826 3.523 3.229
Fe 5.947 2.023 2.503
Fe 4.565 0.026 3.408
Fe 5.737 5.635 2.790
Fe 2.293 3.741 0.714
Fe 9.113 6.145 -1.779
Ga 7.509 7.777 -0.610
Ga 5.031 0.245 0.893
Fe 5.246 4.090 -1.368
Fe 4.986 7.659 -1.080
Cr 5.445 7.865 -3.565
Fe 0.911 1.745 1.619
Fe 7.335 4.000 1.625
Fe 3.647 5.725 -0.203
Fe 7.076 7.569 1.914
Fe 4.353 3.653 3.665
Fe 6.584 6.024 -2.245
Ga 4.812 3.882 1.155
Fe 3.208 5.514 2.324
Fe 2.504 0.115 0.457
Cr 4.561 7.465 1.438
Fe 4.098 5.918 -2.682
Cr 7.760 4.194 -0.893
Cr 2.750 3.972 -1.800
Fe 5.911 9.419 0.555
Fe 1.366 1.973 -0.894
Fe 3.429 1.884 2.061
Fe 6.410 2.240 -0.009
```

Output
The value obtained for the total magnetic moment is 10.41 μB per formula unit. For the energy of formation, the calculation gives -25 kJ/mol of formula units. The space-group type is Cmmm.

---

# 3
Below is a relaxed Li3Pm2ScS6 crystal, with properties calculated at the PBE-GGA level.

```
12
Lattice="-3.594 4.978 -2.965 -2.498 -6.338 0.280 -0.706 1.731 6.274" Properties=species:S:1:pos:R:3 pbc="T T T"
Li -3.399 0.186 1.795
S -1.797 1.879 0.425
Sc 0.000 0.000 0.000
S -5.343 2.030 2.150
Li -3.781 4.127 0.665
Pm -2.862 -2.580 -0.797
S -5.001 -1.508 3.165
Li -3.017 -3.756 2.925
Pm -3.230 1.220 -1.887
S -4.832 -0.613 -0.506
S -1.454 -1.659 1.440
S -1.965 0.984 4.096
```

Output
The formation energy (no corrections) is -1.7755 eV/atom. The value obtained for the total magnetic moment is 0.00 μB per formula unit. The space-group type is C2/m.

---

# 4
Below is a relaxed ErPuRu crystal, with properties calculated at the PBE-GGA level.

```
6
Lattice="-1.401 -3.362 3.326 2.870 -0.962 3.894 -2.626 3.282 5.869" Properties=species:S:1:pos:R:3 pbc="T T T"
Er -1.470 1.529 4.584
Pu 0.145 -0.919 2.790
Pu -1.302 -0.122 10.299
Ru 0.033 -1.448 5.865
Ru -1.190 0.407 7.224
Er 0.312 -2.570 8.505
```

Output
As for the energy relative to the lowest polymorph listed for this composition: 0.099 eV/atom. The value obtained for the total magnetic moment is 5.68 μB per formula unit. For the energy of formation, the calculation gives -21 kJ/mol of formula units. The space-group type is R-3m.

---

# 5
Below is a relaxed Li2AsPb2O6 crystal, with properties calculated at the PBE-GGA level.

```
11
Lattice="-3.164 -3.427 -3.446 2.507 -4.436 -2.770 -1.196 -5.555 1.742" Properties=species:S:1:pos:R:3 pbc="T T T"
O -2.191 -4.914 -2.862
O -0.789 -7.395 -4.411
As 0.000 0.000 0.000
O -1.064 -6.024 -0.063
Li -0.651 -5.880 -3.316
Pb -1.270 -9.703 -3.825
Li -1.203 -7.539 -1.158
Pb -0.584 -3.716 -0.649
O -2.834 -7.941 -1.991
O 0.338 -8.505 -1.612
O 0.980 -5.478 -2.483
```

Output
The formation energy (no corrections) is -1.2533 eV/atom. The value obtained for the total magnetic moment is 0.97 μB per formula unit. The space-group type is R-3m.

---

# 6
Below is a relaxed Cs2ClF2 crystal, with properties calculated at the PBE-GGA level.

```
5
Lattice="-2.380 2.380 7.595 2.380 -2.380 7.595 2.380 2.380 -7.595" Properties=species:S:1:pos:R:3 pbc="T T T"
F 0.000 2.380 3.797
F 2.380 0.000 3.797
Cs 0.000 0.000 5.408
Cl 0.000 0.000 0.000
Cs 0.000 0.000 9.781
```

Output
As for the energy relative to the lowest polymorph listed for this composition: 0.038 eV/atom. The formation energy (no corrections) is -1.8807 eV/atom. The value obtained for the total magnetic moment is 1.04 μB per formula unit. The space-group type is I4/mmm.

---

# 7
Below is a relaxed Np4Se6Br crystal, with properties calculated at the PBE-GGA level.

```
11
Lattice="3.978 0.000 0.000 0.000 8.871 0.000 0.000 -4.435 7.682" Properties=species:S:1:pos:R:3 pbc="T T T"
Np 1.989 6.469 1.387
Se 1.989 1.850 6.190
Se 1.989 -1.850 6.190
Np 1.989 4.435 4.909
Br 0.000 0.000 0.000
Se 0.000 2.744 3.537
Np 0.000 0.000 5.122
Se 1.989 0.000 2.985
Se 0.000 4.435 0.608
Np 1.989 2.402 1.387
Se 0.000 6.126 3.537
```

Output
The formation energy (no corrections) is -1.0654 eV/atom. The value obtained for the total magnetic moment is 15.00 μB per formula unit. The space-group type is P-6m2.

---

# 8
Below is a relaxed BeIn2Hg crystal, with properties calculated at the PBE-GGA level.

```
4
Lattice="-0.877 1.249 4.474 2.308 0.233 4.118 2.051 6.099 0.955" Properties=species:S:1:pos:R:3 pbc="T T T"
In 3.421 7.454 9.368
Be 2.042 4.602 5.154
In 2.426 4.962 7.567
Hg 0.815 1.934 1.778
```

Output
As for the energy relative to the lowest polymorph listed for this composition: 0.020 eV/atom. The value obtained for the total magnetic moment is 0.00 μB per formula unit. For the energy of formation, the calculation gives 107 kJ/mol of formula units. The space-group type is Cm.

---

# 9
Below is a relaxed HfBe9Cr2 crystal, with properties calculated at the PBE-GGA level.

```
24
Lattice="4.350 0.000 0.000 -2.175 3.767 0.000 0.000 0.000 13.800" Properties=species:S:1:pos:R:3 pbc="T T T"
Be -1.067 3.128 1.670
Be 0.000 2.511 3.450
Be 2.175 2.488 12.131
Be 3.242 0.640 12.131
Be 3.242 0.640 8.570
Be 2.175 2.488 8.570
Be 1.108 0.640 8.570
Be 1.067 3.128 1.670
Be 0.000 0.000 3.450
Hf 2.175 1.256 3.450
Cr 0.000 2.511 7.343
Be 1.108 0.640 12.131
Be 0.000 1.279 5.231
Hf 0.000 2.511 10.350
Be -1.067 3.128 5.231
Cr 0.000 2.511 13.357
Be 0.000 0.000 0.000
Be 0.000 0.000 6.900
Cr 2.175 1.256 6.457
Be 0.000 0.000 10.350
Be 2.175 1.256 10.350
Be 1.067 3.128 5.231
Cr 2.175 1.256 0.443
Be 0.000 1.279 1.670
```

Output
As for the energy relative to the lowest polymorph listed for this composition: 0.008 eV/atom. The value obtained for the total magnetic moment is 0.00 μB per formula unit. For the energy of formation, the calculation gives -236 kJ/mol of formula units. The space-group type is P6_3/mmc.

---

# 10
Below is a relaxed MgPbI2 crystal, with properties calculated at the PBE-GGA level.

```
8
Lattice="8.643 0.000 0.000 0.000 8.643 0.000 4.322 4.322 3.752" Properties=species:S:1:pos:R:3 pbc="T T T"
I 2.473 6.482 0.938
I 6.482 6.795 2.814
Pb 8.643 4.322 1.876
Pb 0.000 0.000 0.000
I 10.804 10.492 2.814
I 6.170 2.161 0.938
Mg 4.322 4.322 0.000
Mg 4.322 8.643 1.876
```

Output
As for the energy relative to the lowest polymorph listed for this composition: 0.230 eV/atom. The formation energy (no corrections) is -0.2506 eV/atom. The value obtained for the total magnetic moment is 0.00 μB per formula unit. The space-group type is I-42d.

---

# 11
Below is a relaxed Re2AsP2 crystal, with properties calculated at the PBE-GGA level.

```
10
Lattice="3.198 0.000 0.000 0.000 6.130 -1.262 0.000 0.179 8.040" Properties=species:S:1:pos:R:3 pbc="T T T"
P 0.799 4.607 -0.467
P 2.398 3.077 5.242
As 0.799 6.062 3.959
As 2.398 0.247 2.819
P 0.799 3.231 1.536
Re 0.799 2.058 3.800
Re 2.398 4.251 2.977
Re 0.799 0.871 0.828
Re 2.398 5.438 5.949
P 2.398 1.702 7.245
```

Output
The value obtained for the total magnetic moment is 0.00 μB per formula unit. For the energy of formation, the calculation gives -83 kJ/mol of formula units. The space-group type is P2_1/m.

---

# 12
Below is a relaxed Ce4PuGa crystal, with properties calculated at the PBE-GGA level.

```
24
Lattice="7.395 2.115 0.000 1.357 9.515 0.000 0.000 0.000 9.015" Properties=species:S:1:pos:R:3 pbc="T T T"
Ce 0.596 2.356 2.311
Ce 2.051 8.873 1.330
Pu 2.774 7.622 8.155
Ce 4.557 9.376 7.833
Ce 3.090 9.854 4.993
Ga 5.861 8.317 5.048
Ce 6.701 2.757 7.684
Pu 5.978 4.009 0.860
Ce 3.780 3.459 6.818
Ce 7.576 5.676 5.689
Ce 8.156 9.274 6.704
Pu 5.793 3.922 5.367
Ce 5.663 1.776 4.022
Ce 5.071 5.173 3.177
Ce 3.682 6.457 5.838
Ce 4.196 2.254 1.182
Ce 6.109 6.154 8.529
Ga 1.485 2.502 8.475
Ce 4.972 8.172 2.197
Ga 7.267 9.128 0.540
Ga 2.891 3.313 3.967
Ce 1.176 5.954 3.326
Pu 2.959 7.708 3.648
Ce 2.644 5.476 0.486
```

Output
As for the energy relative to the lowest polymorph listed for this composition: 0.000 eV/atom. The value obtained for the total magnetic moment is 2.56 μB per formula unit. For the energy of formation, the calculation gives -55 kJ/mol of formula units. The space-group type is P2_1/c.